[1]
Computed, not measured: an optimized crystal structure of YAlHg at the PBEsol level of DFT.

**E above lowest polymorph**: 0.010 eV per formula unit
**Formation energy from the elements**: -0.567 eV/atom
**Crystal system**: hexagonal
**Volume**: 65.0 Å³/cell

Unit cell a=4.579 b=4.579 c=3.581 alpha=90.00 beta=90.00 gamma=120.00
Element x y z (fractional)
Y 0.000 0.000 0.000
Al 0.333 0.667 0.500
Hg 0.667 0.333 0.500



[2]
Computed, not measured: an optimized crystal structure of YAlHg3 at the PBEsol level of DFT.

**Formation energy from the elements**: 0.696 eV/atom
**Crystal system**: cubic
**Volume**: 179.2 Å³/cell

Unit cell a=5.638 b=5.638 c=5.638 alpha=90.00 beta=90.00 gamma=90.00
Element x y z (fractional)
Y 0.000 0.000 0.000
Al 0.500 0.500 0.500
Hg 0.000 0.000 0.500
Hg 0.000 0.500 0.000
Hg 0.500 0.000 0.000



[3]
Computed, not measured: an optimized crystal structure of YAlHg at the PBEsol level of DFT.

**E above lowest polymorph**: 0.000 eV per formula unit
**Formation energy from the elements**: -0.570 eV/atom
**Crystal system**: orthorhombic
**Volume**: 129.9 Å³/cell

Unit cell a=5.815 b=5.815 c=5.815 alpha=133.83 beta=103.46 gamma=94.29
Element x y z (fractional)
Y 0.000 0.000 0.000
Y 0.552 0.052 0.500
Al 0.399 0.690 0.709
Al 0.981 0.690 0.291
Hg 0.135 0.360 0.775
Hg 0.585 0.360 0.225



[4]
Computed, not measured: an optimized crystal structure of YAl2Hg2 at the PBEsol level of DFT.

**Formation energy from the elements**: -0.352 eV/atom
**Crystal system**: tetragonal
**Volume**: 104.4 Å³/cell

Unit cell a=6.659 b=6.659 c=6.659 alpha=143.38 beta=143.38 gamma=52.75
Element x y z (fractional)
Y 0.000 0.000 0.000
Al 0.250 0.750 0.500
Al 0.750 0.250 0.500
Hg 0.386 0.386 0.000
Hg 0.614 0.614 0.000



[5]
Computed, not measured: an optimized crystal structure of Zr2AlHg at the PBEsol level of DFT.

**Formation energy from the elements**: -0.363 eV/atom
**Crystal system**: tetragonal
**Volume**: 78.3 Å³/cell

Unit cell a=4.288 b=4.288 c=4.258 alpha=90.00 beta=90.00 gamma=90.00
Element x y z (fractional)
Zr 0.000 0.500 0.000
Zr 0.500 0.000 0.000
Al 0.000 0.000 0.500
Hg 0.500 0.500 0.500



[6]
Computed, not measured: an optimized crystal structure of Zr2Al2Hg at the PBEsol level of DFT.

**Formation energy from the elements**: -0.398 eV/atom
**Crystal system**: tetragonal
**Volume**: 190.7 Å³/cell

Unit cell a=6.792 b=6.792 c=4.133 alpha=90.00 beta=90.00 gamma=90.00
Element x y z (fractional)
Zr 0.168 0.332 0.000
Zr 0.332 0.832 0.000
Zr 0.668 0.168 0.000
Zr 0.832 0.668 0.000
Al 0.130 0.630 0.500
Al 0.370 0.130 0.500
Al 0.630 0.870 0.500
Al 0.870 0.370 0.500
Hg 0.000 0.000 0.500
Hg 0.500 0.500 0.500



[7]
Computed, not measured: an optimized crystal structure of Zr2AlHg at the PBEsol level of DFT.

**Formation energy from the elements**: -0.257 eV/atom
**Crystal system**: cubic
**Volume**: 79.9 Å³/cell

Unit cell a=4.834 b=4.834 c=4.834 alpha=60.00 beta=60.00 gamma=60.00
Element x y z (fractional)
Zr 0.250 0.250 0.250
Zr 0.750 0.750 0.750
Al 0.000 0.000 0.000
Hg 0.500 0.500 0.500



[8]
Computed, not measured: an optimized crystal structure of Zr2AlHg at the PBEsol level of DFT.

**Formation energy from the elements**: -0.306 eV/atom
**Crystal system**: orthorhombic
**Volume**: 79.5 Å³/cell

Unit cell a=5.759 b=5.759 c=5.759 alpha=147.38 beta=128.73 gamma=62.10
Element x y z (fractional)
Zr 0.000 0.000 0.000
Zr 0.737 0.237 0.500
Al 0.257 0.757 0.500
Hg 0.477 0.477 0.000



[9]
Computed, not measured: an optimized crystal structure of Zr2AlHg at the PBEsol level of DFT.

**Formation energy from the elements**: -0.309 eV/atom
**Crystal system**: monoclinic
**Volume**: 78.8 Å³/cell

Unit cell a=3.093 b=4.958 c=5.141 alpha=90.00 beta=90.86 gamma=90.00
Element x y z (fractional)
Zr 0.000 0.000 0.000
Zr 0.035 0.500 0.631
Al 0.519 0.500 0.122
Hg 0.513 0.000 0.486



[10]
Computed, not measured: an optimized crystal structure of Zr2AlHg at the PBEsol level of DFT.

**Formation energy from the elements**: -0.398 eV/atom
**Crystal system**: tetragonal
**Volume**: 77.9 Å³/cell

Unit cell a=3.037 b=3.037 c=8.448 alpha=90.00 beta=90.00 gamma=90.00
Element x y z (fractional)
Zr 0.000 0.000 0.238
Zr 0.000 0.000 0.762
Al 0.500 0.500 0.000
Hg 0.500 0.500 0.500



[11]
Computed, not measured: an optimized crystal structure of Zr2AlHg at the PBEsol level of DFT.

**Formation energy from the elements**: -0.163 eV/atom
**Crystal system**: trigonal
**Volume**: 81.3 Å³/cell

Unit cell a=10.078 b=10.078 c=10.078 alpha=17.55 beta=17.55 gamma=17.55
Element x y z (fractional)
Zr 0.248 0.248 0.248
Zr 0.752 0.752 0.752
Al 0.500 0.500 0.500
Hg 0.000 0.000 0.000



[12]
Computed, not measured: an optimized crystal structure of Zr2AlHg at the PBEsol level of DFT.

**Formation energy from the elements**: -0.380 eV/atom
**Crystal system**: orthorhombic
**Volume**: 78.1 Å³/cell

Unit cell a=3.109 b=4.224 c=5.945 alpha=90.00 beta=90.00 gamma=90.00
Element x y z (fractional)
Zr 0.000 0.000 0.244
Zr 0.000 0.000 0.756
Al 0.500 0.500 0.000
Hg 0.500 0.500 0.500



[13]
Computed, not measured: an optimized crystal structure of Zr2AlHg at the PBEsol level of DFT.

**Formation energy from the elements**: -0.375 eV/atom
**Crystal system**: orthorhombic
**Volume**: 78.3 Å³/cell

Unit cell a=5.178 b=5.178 c=3.104 alpha=90.00 beta=90.00 gamma=109.77
Element x y z (fractional)
Zr 0.000 0.500 0.000
Zr 0.500 0.000 0.000
Al 0.000 0.000 0.500
Hg 0.500 0.500 0.500



[14]
Computed, not measured: an optimized crystal structure of HoAl at the PBEsol level of DFT.

**Formation energy from the elements**: -0.414 eV/atom
**Crystal system**: orthorhombic
**Volume**: 357.5 Å³/cell

Unit cell a=5.755 b=11.261 c=5.516 alpha=90.00 beta=90.00 gamma=90.00
Element x y z (fractional)
Ho 0.098 0.168 0.250
Ho 0.098 0.332 0.750
Ho 0.339 0.015 0.750
Ho 0.339 0.485 0.250
Ho 0.661 0.515 0.750
Ho 0.661 0.985 0.250
Ho 0.902 0.668 0.250
Ho 0.902 0.832 0.750
Al 0.159 0.597 0.750
Al 0.159 0.903 0.250
Al 0.432 0.750 0.000
Al 0.432 0.750 0.500
Al 0.568 0.250 0.000
Al 0.568 0.250 0.500
Al 0.841 0.097 0.750
Al 0.841 0.403 0.250



[15]
Computed, not measured: an optimized crystal structure of HoAl2 at the PBEsol level of DFT.

**Formation energy from the elements**: -0.525 eV/atom
**Crystal system**: cubic
**Volume**: 117.1 Å³/cell

Unit cell a=5.492 b=5.492 c=5.492 alpha=60.00 beta=60.00 gamma=60.00
Element x y z (fractional)
Ho 0.125 0.125 0.125
Ho 0.875 0.875 0.875
Al 0.000 0.500 0.500
Al 0.500 0.000 0.500
Al 0.500 0.500 0.000
Al 0.500 0.500 0.500



[16]
Computed, not measured: an optimized crystal structure of LiHo2Al at the PBEsol level of DFT.

**Formation energy from the elements**: -0.193 eV/atom
**Crystal system**: cubic
**Volume**: 91.8 Å³/cell

Unit cell a=5.063 b=5.063 c=5.063 alpha=60.00 beta=60.00 gamma=60.00
Element x y z (fractional)
Li 0.000 0.000 0.000
Ho 0.250 0.250 0.250
Ho 0.750 0.750 0.750
Al 0.500 0.500 0.500



[17]
Computed, not measured: an optimized crystal structure of HoLuAl2 at the PBEsol level of DFT.

**Formation energy from the elements**: -0.394 eV/atom
**Crystal system**: cubic
**Volume**: 86.4 Å³/cell

Unit cell a=4.962 b=4.962 c=4.962 alpha=60.00 beta=60.00 gamma=60.00
Element x y z (fractional)
Ho 0.000 0.000 0.000
Lu 0.500 0.500 0.500
Al 0.250 0.250 0.250
Al 0.750 0.750 0.750



[18]
Computed, not measured: an optimized crystal structure of HoMn6Al6 at the PBEsol level of DFT.

**Formation energy from the elements**: -0.225 eV/atom
**Crystal system**: orthorhombic
**Volume**: 175.0 Å³/cell

Unit cell a=6.471 b=6.471 c=6.471 alpha=135.81 beta=98.84 gamma=97.43
Element x y z (fractional)
Ho 0.000 0.000 0.000
Mn 0.000 0.000 0.500
Mn 0.000 0.500 0.000
Mn 0.240 0.740 0.500
Mn 0.500 0.000 0.000
Mn 0.500 0.500 0.500
Mn 0.760 0.260 0.500
Al 0.194 0.500 0.694
Al 0.341 0.341 0.000
Al 0.347 0.000 0.347
Al 0.653 0.000 0.653
Al 0.659 0.659 0.000
Al 0.806 0.500 0.306



[19]
Computed, not measured: an optimized crystal structure of NdHoAl4 at the PBEsol level of DFT.

**Formation energy from the elements**: -0.509 eV/atom
**Crystal system**: cubic
**Volume**: 121.8 Å³/cell

Unit cell a=5.564 b=5.564 c=5.564 alpha=60.00 beta=60.00 gamma=60.00
Element x y z (fractional)
Nd 0.000 0.000 0.000
Ho 0.750 0.750 0.750
Al 0.375 0.375 0.375
Al 0.375 0.375 0.875
Al 0.375 0.875 0.375
Al 0.875 0.375 0.375



[20]
Computed, not measured: an optimized crystal structure of Ho3Al2Ni6 at the PBEsol level of DFT.

**Formation energy from the elements**: -0.585 eV/atom
**Crystal system**: cubic
**Volume**: 335.4 Å³/cell

Unit cell a=7.581 b=7.581 c=7.581 alpha=109.47 beta=109.47 gamma=109.47
Element x y z (fractional)
Ho 0.000 0.292 0.292
Ho 0.000 0.708 0.708
Ho 0.292 0.000 0.292
Ho 0.292 0.292 0.000
Ho 0.708 0.000 0.708
Ho 0.708 0.708 0.000
Al 0.000 0.000 0.500
Al 0.000 0.500 0.000
Al 0.500 0.000 0.000
Al 0.500 0.500 0.500
Ni 0.000 0.337 0.663
Ni 0.000 0.663 0.337
Ni 0.327 0.663 0.663
Ni 0.337 0.000 0.663
Ni 0.337 0.337 0.673
Ni 0.337 0.663 0.000
Ni 0.337 0.673 0.337
Ni 0.663 0.000 0.337
Ni 0.663 0.327 0.663
Ni 0.663 0.337 0.000
Ni 0.663 0.663 0.327
Ni 0.673 0.337 0.337